## Co2MoRu (PBE-GGA)

Data for crystalline Co2MoRu at its relaxed geometry.

a b c (Å): 3.7065 3.7065 7.4335
angles (deg): 90.00 90.00 90.00
Last column: nearest neighbours and their distance in Å.
Space group I-4m2 (No. 119)
Inequivalent atoms, fractional coordinates:
Co  0.0000  0.0000  0.0000  4 Mo 2.62, 4 Co 2.62, 4 Ru 2.62
Co  0.0000  0.5000  0.2500  4 Ru 2.62, 4 Mo 2.62, 4 Co 2.62
Mo  0.0000  0.0000  0.5000  8 Co 2.62, 4 Ru 2.62
Ru  0.0000  0.5000  0.7500  8 Co 2.62, 4 Mo 2.62

Output
VASP energy ... -68.255 eV/cell
Distance to the lowest polymorph of the same formula ... 0.038 eV per atom
Total magnetic moment ... 3.8 Bohr magnetons per cell
ΔE_f ... 1.10 kcal/mol of atoms